Material: Y3CuO
Method: DFT, PBE
State: relaxed

As for the energy relative to the elements, uncorrected: -108.8 kJ per mole of atoms. Its calculated volume is 104.4 Å³/cell. Its magnetic moment is 0.000 μB/atom. The total energy is -34.08 eV/f.u.

a = 4.708 Å, b = 4.708 Å, c = 4.708 Å
α = 90.00°, β = 90.00°, γ = 90.00°
Fractional positions:
Y (0.000, 0.500, 0.000)
Y (0.000, 0.000, 0.500)
Y (0.500, 0.000, 0.000)
O (0.000, 0.000, 0.000)
Cu (0.500, 0.500, 0.500)